A plane-wave DFT calculation with GGA-PBE was carried out for a relaxed LaFeHg2Cl crystal. Values from VASP.

Geometry as Quantum ESPRESSO input:
```
&SYSTEM
  ibrav = 0, nat = 5, ntyp = 4
/
ATOMIC_SPECIES
La 138.91 La.upf
Fe 55.84 Fe.upf
Hg 200.59 Hg.upf
Cl 35.45 Cl.upf
CELL_PARAMETERS angstrom
5.628 0.000 0.000
0.000 5.628 0.000
0.000 0.000 5.296
ATOMIC_POSITIONS crystal
La 0.000 0.000 0.000
Fe 0.500 0.500 0.000
Hg 0.000 0.500 0.500
Hg 0.500 0.000 0.500
Cl 0.000 0.000 0.500
```

Output
magnetic moment: 2.5 μB/cell
electronic total energy: -2.75 eV/atom
raw formation energy: 40.6 kJ/mol of atoms